DFT (PBE) results for a relaxed structure of Li6Pd5Au.

abc: 5.9898 5.9898 4.9069
angles: 97.57 97.57 89.52
Last column: nearest neighbours and their distance in Å.
Fractional coordinates of all 12 atoms:
Li1 0.0791 0.4166 0.7484  5 Pd 2.62-2.67, 1 Au 2.68, 6 Li 2.79-2.87
Li2 0.2478 0.2478 0.2567  5 Pd 2.61-2.66, 1 Au 2.68, 6 Li 2.79-2.87
Li3 0.4166 0.0791 0.7484  5 Pd 2.62-2.67, 1 Au 2.68, 6 Li 2.79-2.87
Li4 0.5834 0.9209 0.2516  5 Pd 2.62-2.67, 1 Au 2.68, 6 Li 2.79-2.87
Li5 0.7522 0.7522 0.7433  5 Pd 2.61-2.66, 1 Au 2.68, 6 Li 2.79-2.87
Li6 0.9209 0.5834 0.2516  5 Pd 2.62-2.67, 1 Au 2.68, 6 Li 2.79-2.87
Pd1 0.0000 0.0000 0.5000  6 Li 2.61-2.65, 6 Pd 2.80-2.82
Pd2 0.1650 0.8350 0.0000  6 Li 2.63-2.67, 5 Pd 2.78-2.83, 1 Au 2.83
Pd3 0.3324 0.6676 0.5000  6 Li 2.62-2.66, 4 Pd 2.80-2.83, 2 Au 2.83
Pd4 0.6676 0.3324 0.5000  6 Li 2.62-2.66, 4 Pd 2.80-2.83, 2 Au 2.83
Pd5 0.8350 0.1650 0.0000  6 Li 2.63-2.67, 5 Pd 2.78-2.83, 1 Au 2.83
Au1 0.5000 0.5000 0.0000  6 Li 2.68, 6 Pd 2.83

Output
ΔE to the lowest computed polymorph	10	meV/atom
E_tot	-0.282	Ry/atom

DFT (PBE) results for a relaxed structure of MgAu2.

abc: 5.4737 5.4737 5.4737
angles: 118.23 118.23 93.10
Last column: nearest neighbours and their distance in Å.
Fractional coordinates of all 6 atoms:
Mg1 0.2500 0.2500 0.0000  8 Au 2.80
Mg2 0.7500 0.7500 0.0000  8 Au 2.80
Au1 0.1737 0.6737 0.8475  5 Au 2.76-2.94, 4 Mg 2.80
Au2 0.3263 0.1737 0.5000  5 Au 2.76-2.94, 4 Mg 2.80
Au3 0.6737 0.8263 0.5000  5 Au 2.76-2.94, 4 Mg 2.80
Au4 0.8263 0.3263 0.1525  5 Au 2.76-2.94, 4 Mg 2.80

Output
E_tot	-0.225	Ry/atom

DFT (PBE) results for a relaxed structure of La2SiTc.

abc: 4.8309 4.8309 4.0379
angles: 90.00 90.00 90.00
Last column: nearest neighbours and their distance in Å.
Fractional coordinates of all 4 atoms:
La1 0.0000 0.5000 0.0000  4 Tc 3.15, 4 Si 3.15, 4 La 3.42
La2 0.5000 0.0000 0.0000  4 Tc 3.15, 4 Si 3.15, 4 La 3.42
Si1 0.0000 0.0000 0.5000  8 La 3.15, 4 Tc 3.42
Tc1 0.5000 0.5000 0.5000  8 La 3.15, 4 Si 3.42

Output
E_tot	-0.476	Ry/atom

DFT (PBE) results for a relaxed structure of LiPuTlBr6.

abc: 7.1668 7.1668 14.6209
angles: 90.00 90.00 120.00
Last column: nearest neighbours and their distance in Å.
Fractional coordinates of all 18 atoms:
Li1 0.3333 0.6667 0.2500  6 Br 2.78
Li2 0.6667 0.3333 0.7500  6 Br 2.78
Pu1 0.3333 0.6667 0.7500  6 Br 2.77
Pu2 0.6667 0.3333 0.2500  6 Br 2.77
Tl1 0.0000 0.0000 0.0000  6 Br 3.34
Tl2 0.0000 0.0000 0.5000  6 Br 3.34
Br1 0.0009 0.3653 0.6418  1 Pu 2.77, 1 Li 2.78
Br2 0.0009 0.6356 0.8582  1 Pu 2.77, 1 Li 2.78
Br3 0.3644 0.3653 0.8582  1 Pu 2.77, 1 Li 2.78
Br4 0.3644 0.9991 0.6418  1 Pu 2.77, 1 Li 2.78
Br5 0.3653 0.0009 0.1418  1 Pu 2.77, 1 Li 2.78
Br6 0.3653 0.3644 0.3582  1 Pu 2.77, 1 Li 2.78
Br7 0.6347 0.6356 0.6418  1 Pu 2.77, 1 Li 2.78
Br8 0.6347 0.9991 0.8582  1 Pu 2.77, 1 Li 2.78
Br9 0.6356 0.0009 0.3582  1 Pu 2.77, 1 Li 2.78
Br10 0.6356 0.6347 0.1418  1 Pu 2.77, 1 Li 2.78
Br11 0.9991 0.3644 0.1418  1 Pu 2.77, 1 Li 2.78
Br12 0.9991 0.6347 0.3582  1 Pu 2.77, 1 Li 2.78

Output
E_tot	-0.327	Ry/atom

DFT (PBE) results for a relaxed structure of TaTiCoMo.

abc: 4.3981 4.3981 4.3981
angles: 60.00 60.00 60.00
Last column: nearest neighbours and their distance in Å.
Fractional coordinates of all 4 atoms:
Ta1 0.0000 0.0000 0.0000  4 Mo 2.69, 4 Co 2.69
Ti1 0.5000 0.5000 0.5000  4 Co 2.69, 4 Mo 2.69
Co1 0.2500 0.2500 0.2500  4 Ti 2.69, 4 Ta 2.69
Mo1 0.7500 0.7500 0.7500  4 Ti 2.69, 4 Ta 2.69

Output
ΔE to the lowest computed polymorph	0	meV/atom
E_tot	-0.710	Ry/atom

DFT (PBE) results for a relaxed structure of HfGeTeC2.

abc: 4.1564 4.1564 5.6979
angles: 90.00 90.00 90.00
Last column: nearest neighbours and their distance in Å.
Fractional coordinates of all 5 atoms:
Hf1 0.0000 0.0000 0.0000  2 Te 2.85, 4 Ge 2.94
Ge1 0.5000 0.5000 0.0000  4 Hf 2.94
Te1 0.0000 0.0000 0.5000  4 C 2.08
C1 0.0000 0.5000 0.5000  2 Te 2.08
C2 0.5000 0.0000 0.5000  2 Te 2.08

Output
E_tot	-0.373	Ry/atom

Per-record volume, Å³ per atom: 14.416 19.814 23.558 36.131 15.039 19.687